w.
Compound: YPaFe2
Source: Alexandria
Functional: PBE
Structure: optimized geometry

ρ (g/cm3): 9.65
Crystal system: tetragonal

a = 3.306 Å, b = 3.306 Å, c = 6.797 Å
α = 90.00°, β = 90.00°, γ = 90.00°
Site moments in Bohr magnetons follow the coordinates.
Positions (direct):
Fe1 0.000 0.000 0.798  0.76
Fe2 0.000 0.000 0.202  0.76
Y1 0.500 0.500 0.500  -0.09
Pa1 0.500 0.500 0.000  -0.43

x.
Compound: YPaFe2
Source: Alexandria
Functional: PBE
Structure: optimized geometry

ρ (g/cm3): 9.20
Crystal system: trigonal

a = 4.201 Å, b = 4.201 Å, c = 5.645 Å
α = 68.16°, β = 68.16°, γ = 60.00°
Positions (direct):
Fe1 0.800 0.800 0.599
Fe2 0.200 0.200 0.401
Pa1 0.500 0.500 0.500
Y1 0.000 0.000 0.000

Most stable pick: x. Distance to second place: 0.132 eV/atom.

w.
Compound: YPaFe
Source: Alexandria
Functional: PBE
Structure: optimized geometry

ρ (g/cm3): 8.70
Crystal system: monoclinic

a = 7.292 Å, b = 6.644 Å, c = 7.381 Å
α = 90.00°, β = 126.64°, γ = 90.00°
Positions (direct):
Y1 0.719 0.108 0.819
Y2 0.281 0.892 0.181
Y3 0.219 0.392 0.319
Y4 0.781 0.608 0.681
Fe1 0.017 0.023 0.332
Fe2 0.483 0.523 0.168
Fe3 0.517 0.477 0.832
Fe4 0.983 0.977 0.668
Pa1 0.264 0.740 0.713
Pa2 0.236 0.240 0.787
Pa3 0.764 0.760 0.213
Pa4 0.736 0.260 0.287

x.
Compound: YPaFe
Source: Alexandria
Functional: PBE
Structure: optimized geometry

ρ (g/cm3): 9.06
Crystal system: orthorhombic

a = 3.674 Å, b = 5.945 Å, c = 12.620 Å
α = 90.00°, β = 90.00°, γ = 90.00°
Positions (direct):
Fe1 0.250 0.134 0.037
Fe2 0.750 0.866 0.963
Fe3 0.750 0.366 0.537
Fe4 0.250 0.634 0.463
Y1 0.250 0.127 0.394
Y2 0.750 0.873 0.606
Y3 0.750 0.373 0.894
Y4 0.250 0.627 0.106
Pa1 0.250 0.875 0.847
Pa2 0.250 0.375 0.653
Pa3 0.750 0.625 0.347
Pa4 0.750 0.125 0.153

Most stable pick: x. Distance to second place: 0.007 eV/atom.

w.
Compound: YPaFe
Source: Alexandria
Functional: PBE
Structure: optimized geometry

ρ (g/cm3): 8.66
Crystal system: hexagonal

a = 5.065 Å, b = 4.053 Å, c = 4.053 Å
α = 120.00°, β = 90.00°, γ = 90.00°
Positions (direct):
Pa1 0.167 0.333 0.667
Fe1 0.167 0.000 0.000
Y1 0.667 0.667 0.333

x.
Compound: YPaFe
Source: Alexandria
Functional: PBE
Structure: optimized geometry

ρ (g/cm3): 9.76
Crystal system: tetragonal

a = 3.387 Å, b = 3.387 Å, c = 6.063 Å
α = 106.22°, β = 106.22°, γ = 90.00°
Positions (direct):
Pa1 0.296 0.296 0.592
Fe1 0.701 0.701 0.401
Y1 0.004 0.004 0.007

Most stable pick: x. Distance to second place: 0.082 eV/atom.

w.
Compound: Zr2PaFe
Source: Alexandria
Functional: PBE
Structure: optimized geometry

ρ (g/cm3): 9.23
Crystal system: orthorhombic

a = 5.682 Å, b = 6.574 Å, c = 9.041 Å
α = 90.00°, β = 90.00°, γ = 90.00°
Positions (direct):
Zr1 0.166 0.672 0.440
Zr2 0.834 0.328 0.560
Zr3 0.666 0.828 0.940
Zr4 0.166 0.672 0.060
Zr5 0.334 0.172 0.060
Zr6 0.834 0.328 0.940
Zr7 0.334 0.172 0.440
Zr8 0.666 0.828 0.560
Pa1 0.170 0.946 0.750
Pa2 0.330 0.446 0.750
Pa3 0.670 0.554 0.250
Pa4 0.830 0.054 0.250
Fe1 0.467 0.862 0.250
Fe2 0.033 0.362 0.250
Fe3 0.533 0.138 0.750
Fe4 0.967 0.638 0.750

x.
Compound: Zr2PaFe
Source: Alexandria
Functional: PBE
Structure: optimized geometry

ρ (g/cm3): 9.57
Crystal system: tetragonal

a = 3.207 Å, b = 3.207 Å, c = 7.917 Å
α = 90.00°, β = 90.00°, γ = 90.00°
Site moments in Bohr magnetons follow the coordinates.
Positions (direct):
Zr1 0.000 0.000 0.802  -0.12
Zr2 0.000 0.000 0.198  -0.12
Pa1 0.500 0.500 0.500  0.18
Fe1 0.500 0.500 0.000  0.94

Most stable pick: w. Distance to second place: 0.176 eV/atom.

w.
Compound: ZrPaFe2
Source: Alexandria
Functional: PBE
Structure: optimized geometry

ρ (g/cm3): 10.43
Crystal system: tetragonal

a = 3.218 Å, b = 4.634 Å, c = 4.634 Å
α = 90.00°, β = 90.00°, γ = 90.00°
Site moments in Bohr magnetons follow the coordinates.
Positions (direct):
Zr1 0.500 0.000 0.000  -0.28
Pa1 0.500 0.500 0.500  -0.51
Fe1 0.000 0.500 0.000  1.02
Fe2 0.000 0.000 0.500  1.02

x.
Compound: ZrPaFe2
Source: Alexandria
Functional: PBE
Structure: optimized geometry

ρ (g/cm3): 10.38
Crystal system: cubic

a = 4.613 Å, b = 4.613 Å, c = 4.613 Å
α = 60.00°, β = 60.00°, γ = 60.00°
Site moments in Bohr magnetons follow the coordinates.
Positions (direct):
Fe1 0.750 0.750 0.750  1.11
Fe2 0.250 0.250 0.250  1.11
Zr1 0.000 0.000 0.000  -0.23
Pa1 0.500 0.500 0.500  -0.35

Most stable pick: w. Distance to second place: 0.046 eV/atom.

w.
Compound: ZrPa2Fe
Source: Alexandria
Functional: PBE
Structure: optimized geometry

ρ (g/cm3): 11.44
Crystal system: trigonal

a = 3.435 Å, b = 3.435 Å, c = 8.879 Å
α = 78.85°, β = 78.85°, γ = 60.00°
Positions (direct):
Fe1 0.673 0.673 0.982
Pa1 0.267 0.267 0.200
Pa2 0.064 0.064 0.807
Zr1 0.496 0.496 0.511

x.
Compound: ZrPa2Fe
Source: Alexandria
Functional: PBE
Structure: optimized geometry

ρ (g/cm3): 11.93
Crystal system: orthorhombic

a = 5.577 Å, b = 6.624 Å, c = 9.183 Å
α = 90.00°, β = 90.00°, γ = 90.00°
Positions (direct):
Pa1 0.153 0.682 0.061
Pa2 0.847 0.318 0.939
Pa3 0.653 0.818 0.939
Pa4 0.653 0.818 0.561
Pa5 0.847 0.318 0.561
Pa6 0.347 0.182 0.061
Pa7 0.153 0.682 0.439
Pa8 0.347 0.182 0.439
Zr1 0.845 0.046 0.250
Zr2 0.155 0.954 0.750
Zr3 0.345 0.454 0.750
Zr4 0.655 0.546 0.250
Fe1 0.355 0.913 0.250
Fe2 0.645 0.087 0.750
Fe3 0.145 0.413 0.250
Fe4 0.855 0.587 0.750

Most stable pick: x. Distance to second place: 0.233 eV/atom.

w.
Compound: Fe5Pb3
Source: Alexandria
Functional: PBE
Structure: optimized geometry

ρ (g/cm3): 10.23
Crystal system: hexagonal

a = 8.393 Å, b = 8.392 Å, c = 4.796 Å
α = 90.00°, β = 90.00°, γ = 120.01°
Site moments in Bohr magnetons follow the coordinates.
Positions (direct):
Pb1 0.620 0.000 0.250  -0.10
Pb2 0.000 0.620 0.250  -0.10
Pb3 0.380 0.000 0.750  -0.10
Pb4 0.380 0.379 0.250  -0.10
Pb5 0.000 0.380 0.750  -0.10
Pb6 0.620 0.620 0.750  -0.10
Fe1 0.000 0.162 0.250  2.54
Fe2 0.667 0.333 0.500  2.51
Fe3 0.837 0.000 0.750  2.54
Fe4 0.333 0.667 0.500  2.51
Fe5 0.333 0.667 0.000  2.51
Fe6 0.162 0.000 0.250  2.53
Fe7 0.000 0.837 0.750  2.54
Fe8 0.837 0.837 0.250  2.54
Fe9 0.162 0.162 0.750  2.54
Fe10 0.667 0.333 0.000  2.51

x.
Compound: Fe5Pb3
Source: Alexandria
Functional: PBE
Structure: optimized geometry

ρ (g/cm3): 11.05
Crystal system: orthorhombic

a = 5.505 Å, b = 5.505 Å, c = 4.609 Å
α = 90.00°, β = 90.00°, γ = 104.24°
Site moments in Bohr magnetons follow the coordinates.
Positions (direct):
Pb1 0.796 0.204 0.500  -0.07
Pb2 0.204 0.796 0.500  -0.07
Pb3 0.500 0.500 0.000  -0.09
Fe1 0.000 0.500 0.000  2.57
Fe2 0.000 0.000 0.000  2.77
Fe3 0.310 0.310 0.500  2.37
Fe4 0.500 0.000 0.000  2.57
Fe5 0.690 0.690 0.500  2.37

Most stable pick: w. Distance to second place: 0.069 eV/atom.

w.
Compound: Fe4Pb5
Source: Alexandria
Functional: PBE
Structure: optimized geometry

ρ (g/cm3): 9.99
Crystal system: tetragonal

a = 7.350 Å, b = 7.350 Å, c = 7.350 Å
α = 94.74°, β = 94.74°, γ = 146.59°
Site moments in Bohr magnetons follow the coordinates.
Positions (direct):
Pb1 0.673 0.327 0.000  -0.03
Pb2 0.327 0.673 0.000  -0.03
Pb3 0.673 0.673 0.345  -0.03
Pb4 0.327 0.327 0.655  -0.03
Pb5 0.000 0.000 0.000  0.00
Fe1 0.000 0.386 0.386  2.80
Fe2 0.614 0.000 0.614  2.80
Fe3 0.386 0.000 0.386  2.80
Fe4 0.000 0.614 0.614  2.80

x.
Compound: Fe4Pb5
Source: Alexandria
Functional: PBE
Structure: optimized geometry

ρ (g/cm3): 10.71
Crystal system: hexagonal

a = 8.772 Å, b = 8.772 Å, c = 5.859 Å
α = 90.00°, β = 90.00°, γ = 120.00°
Site moments in Bohr magnetons follow the coordinates.
Positions (direct):
Fe1 0.423 0.423 0.750  2.73
Fe2 0.000 0.000 0.500  2.54
Fe3 0.000 0.423 0.250  2.73
Fe4 0.000 0.000 0.000  2.54
Fe5 0.577 0.000 0.750  2.73
Fe6 0.577 0.577 0.250  2.73
Fe7 0.423 0.000 0.250  2.73
Fe8 0.000 0.577 0.750  2.73
Pb1 0.667 0.333 0.000  -0.04
Pb2 0.333 0.667 0.500  -0.04
Pb3 0.333 0.667 0.000  -0.04
Pb4 0.000 0.733 0.250  -0.06
Pb5 0.267 0.000 0.750  -0.06
Pb6 0.733 0.733 0.750  -0.06
Pb7 0.733 0.000 0.250  -0.06
Pb8 0.000 0.267 0.750  -0.06
Pb9 0.667 0.333 0.500  -0.04
Pb10 0.267 0.267 0.250  -0.06

Most stable pick: w. Distance to second place: 0.147 eV/atom.

w.
Compound: Fe5Pb4
Source: Alexandria
Functional: PBE
Structure: optimized geometry

ρ (g/cm3): 10.03
Crystal system: tetragonal

a = 7.012 Å, b = 7.012 Å, c = 7.012 Å
α = 94.84°, β = 94.84°, γ = 146.22°
Site moments in Bohr magnetons follow the coordinates.
Positions (direct):
Fe1 0.624 0.376 0.000  2.57
Fe2 0.000 0.000 0.000  2.42
Fe3 0.376 0.624 0.000  2.57
Fe4 0.624 0.624 0.248  2.57
Fe5 0.376 0.376 0.752  2.57
Pb1 0.702 0.000 0.702  -0.06
Pb2 0.000 0.702 0.702  -0.06
Pb3 0.298 0.000 0.298  -0.06
Pb4 0.000 0.298 0.298  -0.06

x.
Compound: Fe5Pb4
Source: Alexandria
Functional: PBE
Structure: optimized geometry

ρ (g/cm3): 10.93
Crystal system: hexagonal

a = 8.245 Å, b = 8.245 Å, c = 5.720 Å
α = 90.00°, β = 90.00°, γ = 120.00°
Site moments in Bohr magnetons follow the coordinates.
Positions (direct):
Pb1 0.374 0.000 0.250  -0.06
Pb2 0.626 0.626 0.250  -0.06
Pb3 0.000 0.000 0.500  -0.01
Pb4 0.000 0.000 0.000  -0.01
Pb5 0.374 0.374 0.750  -0.06
Pb6 0.000 0.374 0.250  -0.06
Pb7 0.626 0.000 0.750  -0.06
Pb8 0.000 0.626 0.750  -0.06
Fe1 0.333 0.667 0.000  2.82
Fe2 0.696 0.696 0.750  2.56
Fe3 0.696 0.000 0.250  2.56
Fe4 0.304 0.000 0.750  2.56
Fe5 0.333 0.667 0.500  2.82
Fe6 0.304 0.304 0.250  2.56
Fe7 0.000 0.304 0.750  2.56
Fe8 0.667 0.333 0.500  2.82
Fe9 0.667 0.333 0.000  2.82
Fe10 0.000 0.696 0.250  2.56

Most stable pick: w. Distance to second place: 0.258 eV/atom.

w.
Compound: Fe4Pb
Source: Alexandria
Functional: PBE
Structure: optimized geometry

ρ (g/cm3): 6.34
Crystal system: cubic

a = 4.831 Å, b = 4.831 Å, c = 4.831 Å
α = 90.00°, β = 90.00°, γ = 90.00°
Site moments in Bohr magnetons follow the coordinates.
Positions (direct):
Fe1 0.000 0.500 0.500  2.88
Fe2 0.500 0.500 0.000  2.88
Fe3 0.000 0.000 0.000  3.30
Fe4 0.500 0.000 0.500  2.88
Pb1 0.500 0.500 0.500  -0.09

x.
Compound: Fe4Pb
Source: Alexandria
Functional: PBE
Structure: optimized geometry

ρ (g/cm3): 7.01
Crystal system: cubic

a = 5.098 Å, b = 5.098 Å, c = 5.098 Å
α = 109.47°, β = 109.47°, γ = 109.47°
Site moments in Bohr magnetons follow the coordinates.
Positions (direct):
Fe1 0.000 0.000 0.500  2.97
Fe2 0.500 0.500 0.500  2.97
Fe3 0.000 0.500 0.000  2.97
Fe4 0.500 0.000 0.000  2.97
Pb1 0.000 0.000 0.000  -0.05

y.
Compound: Fe4Pb
Source: Alexandria
Functional: PBE
Structure: optimized geometry

ρ (g/cm3): 9.58
Crystal system: tetragonal

a = 5.836 Å, b = 5.836 Å, c = 5.836 Å
α = 142.05°, β = 142.05°, γ = 54.75°
Site moments in Bohr magnetons follow the coordinates.
Positions (direct):
Fe1 0.615 0.615 0.000  1.77
Fe2 0.750 0.250 0.500  2.29
Fe3 0.385 0.385 0.000  1.77
Fe4 0.250 0.750 0.500  2.29
Pb1 0.000 0.000 0.000  -0.04

z.
Compound: Fe4Pb
Source: Alexandria
Functional: PBE
Structure: optimized geometry

ρ (g/cm3): 10.13
Crystal system: tetragonal

a = 4.654 Å, b = 4.654 Å, c = 4.654 Å
α = 100.62°, β = 100.62°, γ = 129.15°
Site moments in Bohr magnetons follow the coordinates.
Positions (direct):
Pb1 0.000 0.000 0.000  -0.09
Fe1 0.811 0.422 0.233  2.48
Fe2 0.422 0.189 0.611  2.48
Fe3 0.189 0.578 0.767  2.48
Fe4 0.578 0.811 0.389  2.48

Most stable pick: z. Distance to second place: 0.180 eV/atom.

w.
Compound: Fe5Pb
Source: Alexandria
Functional: PBE
Structure: optimized geometry

ρ (g/cm3): 9.47
Crystal system: tetragonal

a = 3.093 Å, b = 3.093 Å, c = 8.911 Å
α = 90.00°, β = 90.00°, γ = 90.00°
Site moments in Bohr magnetons follow the coordinates.
Positions (direct):
Fe1 0.000 0.000 0.784  2.54
Fe2 0.500 0.500 0.650  2.62
Fe3 0.500 0.500 0.350  2.62
Fe4 0.000 0.000 0.216  2.54
Fe5 0.000 0.000 0.500  2.70
Pb1 0.500 0.500 0.000  -0.02

x.
Compound: Fe5Pb
Source: Alexandria
Functional: PBE
Structure: optimized geometry

ρ (g/cm3): 9.76
Crystal system: cubic

a = 4.892 Å, b = 4.892 Å, c = 4.892 Å
α = 60.00°, β = 60.00°, γ = 60.00°
Site moments in Bohr magnetons follow the coordinates.
Positions (direct):
Fe1 0.625 0.625 0.126  2.30
Fe2 0.126 0.625 0.625  2.30
Fe3 0.625 0.126 0.625  2.30
Fe4 0.250 0.250 0.250  2.80
Fe5 0.625 0.625 0.625  2.30
Pb1 0.000 0.000 0.000  -0.07

Most stable pick: w. Distance to second place: 0.011 eV/atom.